# 1
DFT (PBE) results for DyTh2Co after structural relaxation.

## Properties
Distance to the lowest polymorph of the same formula (meV per atom): 0
Theoretical density (g cm⁻³): 10.8

a b c (Å): 3.6867 6.1372 9.8003
angles (deg): 90.00 90.00 107.44
Atoms (fractional coordinates):
Co 0.7983 0.5960 0.7500
Dy 0.0885 0.1767 0.7500
Co 0.2017 0.4040 0.2500
Th 0.3622 0.7236 0.5662
Th 0.3622 0.7236 0.9338
Th 0.6378 0.2764 0.4338
Th 0.6378 0.2764 0.0662
Dy 0.9115 0.8233 0.2500

=====

# 2
DFT (PBE) results for Dy2ThCo after structural relaxation.

## Properties
Distance to the lowest polymorph of the same formula (meV per atom): 166
Theoretical density (g cm⁻³): 10.1

a b c (Å): 3.4194 3.4194 8.6889
angles (deg): 90.00 90.00 90.00
Last column: magnetic moment on the atom in μB.
Atoms (fractional coordinates):
Dy 0.0000 0.0000 0.1854  -0.12
Dy 0.0000 0.0000 0.8146  -0.12
Th 0.5000 0.5000 0.5000  0.01
Co 0.5000 0.5000 0.0000  0.84

=====

# 3
DFT (PBE) results for Dy12ThCo6 after structural relaxation.

## Properties
Theoretical density (g cm⁻³): 9.1

a b c (Å): 8.4494 8.4494 8.4494
angles (deg): 109.47 109.47 109.47
Atoms (fractional coordinates):
Dy 0.6922 0.8849 0.1927
Dy 0.1927 0.3078 0.5006
Co 0.5000 0.8865 0.3865
Dy 0.8073 0.3078 0.1151
Dy 0.6922 0.4994 0.8073
Dy 0.8849 0.1927 0.6922
Co 0.3865 0.5000 0.8865
Dy 0.1927 0.6922 0.8849
Th 0.0000 0.0000 0.0000
Dy 0.3078 0.5006 0.1927
Dy 0.8073 0.6922 0.4994
Co 0.1135 0.6135 0.5000
Dy 0.1151 0.8073 0.3078
Co 0.6135 0.5000 0.1135
Co 0.8865 0.3865 0.5000
Dy 0.4994 0.8073 0.6922
Dy 0.3078 0.1151 0.8073
Co 0.5000 0.1135 0.6135
Dy 0.5006 0.1927 0.3078

=====

# 4
DFT (PBE) results for DyTh2Co after structural relaxation.

## Properties
Distance to the lowest polymorph of the same formula (meV per atom): 107
Theoretical density (g cm⁻³): 10.1

a b c (Å): 3.8173 3.8173 9.2206
angles (deg): 78.05 78.05 60.00
Atoms (fractional coordinates):
Th 0.2740 0.2740 0.1780
Dy 0.4991 0.4991 0.5026
Co 0.6665 0.6665 0.0006
Th 0.0604 0.0604 0.8188

=====

# 5
DFT (PBE) results for DyThCo after structural relaxation.

## Properties
Distance to the lowest polymorph of the same formula (meV per atom): 201
Theoretical density (g cm⁻³): 9.8

a b c (Å): 4.7677 4.7677 4.7677
angles (deg): 60.00 60.00 60.00
Atoms (fractional coordinates):
Dy 0.0000 0.0000 0.0000
Co 0.2500 0.2500 0.2500
Th 0.5000 0.5000 0.5000

=====

# 6
DFT (PBE) results for DyTh6Co3 after structural relaxation.

## Properties
Theoretical density (g cm⁻³): 11.1

a b c (Å): 7.1447 8.5218 8.5218
angles (deg): 92.92 90.00 90.00
Atoms (fractional coordinates):
Th 0.8288 0.9919 0.5246
Th 0.0693 0.2981 0.3185
Dy 0.6235 0.7410 0.2590
Th 0.0693 0.6815 0.7019
Th 0.3288 0.5246 0.9919
Th 0.5693 0.7019 0.6815
Co 0.9443 0.7570 0.0126
Co 0.8305 0.5393 0.4607
Th 0.7423 0.0290 0.9710
Th 0.6042 0.3115 0.6885
Co 0.4443 0.2430 0.9874
Co 0.4443 0.0126 0.7570
Th 0.8288 0.4754 0.0081
Th 0.2423 0.9710 0.0290
Th 0.5693 0.3185 0.2981
Th 0.1042 0.6885 0.3115
Dy 0.1235 0.2590 0.7410
Co 0.3305 0.4607 0.5393
Co 0.9443 0.9874 0.2430
Th 0.3288 0.0081 0.4754

=====

# 7
DFT (PBE) results for DyThCo after structural relaxation.

## Properties
Distance to the lowest polymorph of the same formula (meV per atom): 89
Theoretical density (g cm⁻³): 9.5

a b c (Å): 3.8410 3.8410 6.2102
angles (deg): 90.00 90.00 120.00
Atoms (fractional coordinates):
Co 0.6667 0.3333 0.3442
Th 0.3333 0.6667 0.5743
Dy 0.0000 0.0000 0.0815

=====

# 8
DFT (PBE) results for Dy3ThCo8 after structural relaxation.

## Properties
Theoretical density (g cm⁻³): 10.6

a b c (Å): 5.0763 5.0763 8.8289
angles (deg): 73.29 73.29 60.00
Last column: magnetic moment on the atom in μB.
Atoms (fractional coordinates):
Co 0.4381 0.4381 0.1854  0.97
Co 0.9373 0.4358 0.6897  1.05
Co 0.4381 0.9383 0.1854  0.97
Dy 0.4981 0.4981 0.5058  -0.29
Dy 0.0018 0.0018 0.9947  -0.28
Co 0.6879 0.6879 0.9363  1.06
Co 0.4358 0.9373 0.6897  1.05
Th 0.8758 0.8758 0.3725  -0.28
Dy 0.3744 0.3744 0.8768  -0.30
Co 0.9383 0.4381 0.1854  0.97
Co 0.1871 0.1871 0.4387  0.92
Co 0.9373 0.9373 0.6897  1.05

=====

# 9
DFT (PBE) results for DyThZnCo after structural relaxation.

## Properties
Theoretical density (g cm⁻³): 9.9

a b c (Å): 4.9750 4.9750 4.9750
angles (deg): 60.00 60.00 60.00
Last column: magnetic moment on the atom in μB.
Atoms (fractional coordinates):
Co 0.5000 0.5000 0.5000  0.52
Dy 0.2500 0.2500 0.2500  -0.04
Zn 0.0000 0.0000 0.0000  0.01
Th 0.7500 0.7500 0.7500  -0.05

=====

# 10
DFT (PBE) results for DyTiCo after structural relaxation.

## Properties
Distance to the lowest polymorph of the same formula (meV per atom): 178
Theoretical density (g cm⁻³): 8.0

a b c (Å): 5.0068 5.0068 5.5535
angles (deg): 106.52 106.52 111.67
Atoms (fractional coordinates):
Co 0.2500 0.7500 0.5000
Ti 0.1885 0.1885 0.3771
Dy 0.6829 0.3171 0.0000
Co 0.7500 0.2500 0.5000
Ti 0.8115 0.8115 0.6229
Dy 0.3171 0.6829 0.0000

=====

# 11
DFT (PBE) results for DyTiCo4 after structural relaxation.

## Properties
Theoretical density (g cm⁻³): 8.9

a b c (Å): 4.8974 4.8974 4.8974
angles (deg): 60.00 60.00 60.00
Last column: magnetic moment on the atom in μB.
Atoms (fractional coordinates):
Co 0.6255 0.6255 0.6255  1.01
Ti 0.0000 0.0000 0.0000  -0.68
Dy 0.2500 0.2500 0.2500  -0.31
Co 0.1235 0.6255 0.6255  1.01
Co 0.6255 0.1235 0.6255  1.01
Co 0.6255 0.6255 0.1235  1.01

=====

# 12
DFT (PBE) results for Dy2TiCo after structural relaxation.

## Properties
Theoretical density (g cm⁻³): 7.6

a b c (Å): 3.3332 3.3332 9.9337
angles (deg): 80.34 80.34 60.00
Last column: magnetic moment on the atom in μB.
Atoms (fractional coordinates):
Ti 0.0000 0.0000 0.0000  1.35
Co 0.5000 0.5000 0.5000  -0.07
Dy 0.8968 0.8968 0.3095  0.09
Dy 0.1032 0.1032 0.6905  0.09

=====

Which density of states at the Fermi level belongs to each record? In order, 4.7; 4.3; 16.8; 4.6; 3.4; 11.3; 3.6; 15.0; 3.3; 3.9; 7.4; 4.7 states/eV/f.u..
Which VASP energy belongs to each record? In order, -6.819; -5.965; -5.660; -6.712; -6.387; -7.144; -6.499; -6.701; -5.254; -6.606; -7.011; -5.603 eV per atom.
Which formation enthalpy at 0 K belongs to each record? In order, -18; -3; -11; -7; -1; -10; -12; -19; -15; -7; -18; 43 kJ/mol of atoms.